1.
{
  "formula": "Nd2CrPN5",
  "functional": "GGA-PBE",
  "state": "relaxed",
  "volume_a3_per_cell": 224,
  "dft_energy_ev_per_atom": -8.17,
  "formation_energy_uncorrected_kj_per_mol_atoms": -78.5,
  "sg": "Cmc2_1",
  "cell": [[-0.591, -0.540, 3.042], [1.231, -6.556, -2.552], [9.942, 1.043, 2.118]],
  "species": ["Nd", "Nd", "Nd", "Nd", "Cr", "Cr", "P", "P", "N", "N", "N", "N", "N", "N", "N", "N", "N", "N"],
  "fractional_positions": [[0.861, 0.723, 0.816], [0.115, 0.231, 0.677], [0.139, 0.277, 0.316], [0.885, 0.769, 0.177], [0.787, 0.574, 0.534], [0.213, 0.426, 0.034], [0.561, 0.122, 0.931], [0.439, 0.878, 0.431], [0.341, 0.682, 0.006], [0.676, 0.352, 0.892], [0.498, 0.997, 0.798], [0.292, 0.584, 0.650], [0.954, 0.907, 0.519], [0.659, 0.318, 0.506], [0.324, 0.648, 0.392], [0.502, 0.003, 0.298], [0.708, 0.416, 0.150], [0.046, 0.093, 0.019]]
}



2.
{
  "formula": "Nd2PaCr2N6",
  "functional": "GGA-PBE",
  "state": "relaxed",
  "volume_a3_per_cell": 162,
  "dft_energy_ev_per_atom": -8.93,
  "formation_energy_uncorrected_kj_per_mol_atoms": -87.7,
  "sg": "R-3m",
  "cell": [[-1.024, 2.561, -4.951], [-4.477, -1.540, -3.114], [-5.097, 4.310, 0.040]],
  "species": ["Nd", "Nd", "Pa", "Cr", "Cr", "N", "N", "N", "N", "N", "N"],
  "fractional_positions": [[0.789, 0.789, 0.633], [0.211, 0.211, 0.367], [0.000, 0.000, 0.000], [0.404, 0.404, 0.788], [0.596, 0.596, 0.212], [0.744, 0.744, 0.281], [0.232, 0.744, 0.281], [0.744, 0.232, 0.281], [0.256, 0.768, 0.719], [0.768, 0.256, 0.719], [0.256, 0.256, 0.719]]
}



3.
{
  "formula": "NdPaCrN4",
  "functional": "GGA-PBE",
  "state": "relaxed",
  "volume_a3_per_cell": 199,
  "dft_energy_ev_per_atom": -9.24,
  "formation_energy_uncorrected_kj_per_mol_atoms": -103.0,
  "sg": "P2_1/m",
  "cell": [[-1.475, 2.649, 4.918], [-5.138, -0.928, -1.042], [0.898, -6.569, 1.421]],
  "species": ["Nd", "Nd", "Pa", "Pa", "Cr", "Cr", "N", "N", "N", "N", "N", "N", "N", "N"],
  "fractional_positions": [[0.711, 0.750, 0.927], [0.289, 0.250, 0.073], [0.771, 0.750, 0.444], [0.229, 0.250, 0.556], [0.233, 0.750, 0.307], [0.767, 0.250, 0.693], [0.982, 0.497, 0.723], [0.018, 0.997, 0.277], [0.018, 0.503, 0.277], [0.982, 0.003, 0.723], [0.435, 0.750, 0.148], [0.565, 0.250, 0.852], [0.426, 0.750, 0.566], [0.574, 0.250, 0.434]]
}



4.
{
  "formula": "NdPa2CrN4",
  "functional": "GGA-PBE",
  "state": "relaxed",
  "volume_a3_per_cell": 232,
  "dft_energy_ev_per_atom": -9.61,
  "formation_energy_uncorrected_kj_per_mol_atoms": -123.3,
  "sg": "Cmcm",
  "cell": [[-2.962, -1.667, -0.285], [4.353, -4.283, 0.216], [-0.913, -0.348, 11.533]],
  "species": ["Nd", "Nd", "Pa", "Pa", "Pa", "Pa", "Cr", "Cr", "N", "N", "N", "N", "N", "N", "N", "N"],
  "fractional_positions": [[0.103, 0.205, 0.750], [0.897, 0.795, 0.250], [0.367, 0.734, 0.555], [0.633, 0.266, 0.055], [0.633, 0.266, 0.445], [0.367, 0.734, 0.945], [0.840, 0.680, 0.750], [0.160, 0.320, 0.250], [0.269, 0.537, 0.121], [0.731, 0.463, 0.621], [0.731, 0.463, 0.879], [0.269, 0.537, 0.379], [0.000, 0.000, 0.500], [0.000, 0.000, 0.000], [0.440, 0.880, 0.750], [0.560, 0.120, 0.250]]
}



5.
{
  "formula": "PmNd2CrN4",
  "functional": "GGA-PBE",
  "state": "relaxed",
  "volume_a3_per_cell": 250,
  "dft_energy_ev_per_atom": -8.18,
  "formation_energy_uncorrected_kj_per_mol_atoms": -99.2,
  "sg": "Cmcm",
  "cell": [[3.481, 0.000, 0.000], [-1.740, 5.901, 0.000], [0.000, 0.000, 12.155]],
  "species": ["Pm", "Pm", "Nd", "Nd", "Nd", "Nd", "Cr", "Cr", "N", "N", "N", "N", "N", "N", "N", "N"],
  "fractional_positions": [[0.106, 0.211, 0.750], [0.894, 0.789, 0.250], [0.367, 0.735, 0.543], [0.633, 0.265, 0.043], [0.633, 0.265, 0.457], [0.367, 0.735, 0.957], [0.833, 0.667, 0.750], [0.167, 0.333, 0.250], [0.271, 0.543, 0.138], [0.729, 0.457, 0.638], [0.729, 0.457, 0.862], [0.271, 0.543, 0.362], [0.000, 0.000, 0.500], [0.000, 0.000, 0.000], [0.417, 0.833, 0.750], [0.583, 0.167, 0.250]]
}



6.
{
  "formula": "PmNdCrN4",
  "functional": "GGA-PBE",
  "state": "relaxed",
  "volume_a3_per_cell": 205,
  "dft_energy_ev_per_atom": -8.55,
  "formation_energy_uncorrected_kj_per_mol_atoms": -102.3,
  "sg": "P2_1/m",
  "cell": [[-5.090, -1.182, -2.141], [2.369, -1.937, -4.564], [2.237, -5.571, 3.525]],
  "species": ["Pm", "Pm", "Nd", "Nd", "Cr", "Cr", "N", "N", "N", "N", "N", "N", "N", "N"],
  "fractional_positions": [[0.792, 0.750, 0.464], [0.208, 0.250, 0.536], [0.722, 0.750, 0.936], [0.278, 0.250, 0.064], [0.235, 0.750, 0.298], [0.765, 0.250, 0.702], [0.969, 0.496, 0.761], [0.031, 0.996, 0.239], [0.031, 0.504, 0.239], [0.969, 0.004, 0.761], [0.438, 0.750, 0.152], [0.562, 0.250, 0.848], [0.399, 0.750, 0.553], [0.601, 0.250, 0.447]]
}



7.
{
  "formula": "PrNd2CrN4",
  "functional": "GGA-PBE",
  "state": "relaxed",
  "volume_a3_per_cell": 253,
  "dft_energy_ev_per_atom": -8.19,
  "formation_energy_uncorrected_kj_per_mol_atoms": -99.7,
  "sg": "Cmcm",
  "cell": [[-3.335, 0.205, 1.053], [3.314, -1.620, 4.985], [1.587, 11.702, 2.748]],
  "species": ["Pr", "Pr", "Nd", "Nd", "Nd", "Nd", "Cr", "Cr", "N", "N", "N", "N", "N", "N", "N", "N"],
  "fractional_positions": [[0.099, 0.197, 0.750], [0.901, 0.803, 0.250], [0.368, 0.736, 0.543], [0.632, 0.264, 0.043], [0.632, 0.264, 0.457], [0.368, 0.736, 0.957], [0.830, 0.660, 0.750], [0.170, 0.340, 0.250], [0.269, 0.538, 0.136], [0.731, 0.462, 0.636], [0.731, 0.462, 0.864], [0.269, 0.538, 0.364], [0.000, 0.000, 0.500], [0.000, 0.000, 0.000], [0.414, 0.828, 0.750], [0.586, 0.172, 0.250]]
}



8.
{
  "formula": "Pr2NdCrN4",
  "functional": "GGA-PBE",
  "state": "relaxed",
  "volume_a3_per_cell": 256,
  "dft_energy_ev_per_atom": -8.14,
  "formation_energy_uncorrected_kj_per_mol_atoms": -95.0,
  "sg": "Cmcm",
  "cell": [[-3.211, 0.052, -1.407], [-0.695, -1.841, 5.888], [-1.342, 11.682, 3.494]],
  "species": ["Pr", "Pr", "Pr", "Pr", "Nd", "Nd", "Cr", "Cr", "N", "N", "N", "N", "N", "N", "N", "N"],
  "fractional_positions": [[0.367, 0.734, 0.543], [0.633, 0.266, 0.043], [0.633, 0.266, 0.457], [0.367, 0.734, 0.957], [0.105, 0.210, 0.750], [0.895, 0.790, 0.250], [0.831, 0.662, 0.750], [0.169, 0.338, 0.250], [0.272, 0.544, 0.139], [0.728, 0.456, 0.639], [0.728, 0.456, 0.861], [0.272, 0.544, 0.361], [0.000, 0.000, 0.500], [0.000, 0.000, 0.000], [0.412, 0.825, 0.750], [0.588, 0.175, 0.250]]
}